(1)
NaHfCdAu (GGA-PBE, relaxed); E above lowest polymorph = 0.0 meV per atom
1.0
0.000 3.378 3.378
3.378 0.000 3.378
3.378 3.378 0.000
Na Hf Cd Au
1 1 1 1
Direct
0.000 0.000 0.000
0.250 0.250 0.250
0.750 0.750 0.750
0.500 0.500 0.500

---

(2)
Zr2Al2O5 (GGA-PBE, relaxed); E above lowest polymorph = 39.3 meV per atom
1.0
3.758 0.000 0.000
0.000 3.758 0.000
0.000 0.000 6.460
Zr Al O
2 2 5
Direct
0.000 0.000 0.000
0.000 0.000 0.500
0.500 0.500 0.219
0.500 0.500 0.781
0.000 0.500 0.237
0.000 0.500 0.763
0.500 0.000 0.237
0.500 0.000 0.763
0.500 0.500 0.500

---

(3)
Al3W2 (GGA-PBE, relaxed); E above lowest polymorph = 0.0 meV per atom
1.0
9.664 0.000 0.000
0.000 9.664 0.000
0.000 0.000 4.938
Al W
18 12
Direct
0.000 0.000 0.000
0.057 0.262 0.000
0.189 0.811 0.250
0.189 0.811 0.750
0.238 0.557 0.500
0.262 0.057 0.000
0.311 0.311 0.250
0.311 0.311 0.750
0.443 0.762 0.500
0.500 0.500 0.500
0.557 0.238 0.500
0.689 0.689 0.250
0.689 0.689 0.750
0.738 0.943 0.000
0.762 0.443 0.500
0.811 0.189 0.250
0.811 0.189 0.750
0.943 0.738 0.000
0.029 0.363 0.500
0.103 0.103 0.500
0.137 0.529 0.000
0.363 0.029 0.500
0.397 0.603 0.000
0.471 0.863 0.000
0.529 0.137 0.000
0.603 0.397 0.000
0.637 0.971 0.500
0.863 0.471 0.000
0.897 0.897 0.500
0.971 0.637 0.500

---

(4)
Li4GaHgPt2 (GGA-PBE, relaxed); E = -27.57 eV per cell
1.0
4.276 0.000 0.000
0.000 4.276 0.000
0.000 0.000 6.548
Li Ga Hg Pt
4 1 1 2
Direct
0.000 0.000 0.000
0.000 0.500 0.737
0.500 0.000 0.263
0.500 0.500 0.500
0.000 0.000 0.500
0.500 0.500 0.000
0.000 0.500 0.284
0.500 0.000 0.716

---

(5)
TbHoFe (GGA-PBE, relaxed); E_form = 200 meV per atom
1.0
0.000 3.285 3.285
3.285 0.000 3.285
3.285 3.285 0.000
Tb Ho Fe
1 1 1
Direct
0.000 0.000 0.000
0.500 0.500 0.500
0.750 0.750 0.750

---

(6)
SmHoNb2Ge2 (GGA-PBE, relaxed); E = -42.47 eV per cell
1.0
4.042 0.000 0.000
0.000 4.042 0.000
0.000 0.000 7.951
Sm Ho Nb Ge
1 1 2 2
Direct
0.000 0.000 0.000
0.500 0.500 0.296
0.000 0.500 0.643
0.500 0.000 0.643
0.000 0.000 0.400
0.500 0.500 0.884

---

(7)
KBe2Pt2 (GGA-PBE, relaxed); E = -43.83 eV per cell
1.0
7.419 0.000 0.000
0.000 7.419 0.000
0.000 0.000 2.763
K Be Pt
2 4 4
Direct
0.000 0.000 0.000
0.500 0.500 0.000
0.118 0.382 0.000
0.382 0.882 0.000
0.618 0.118 0.000
0.882 0.618 0.000
0.148 0.648 0.500
0.352 0.148 0.500
0.648 0.852 0.500
0.852 0.352 0.500

---

(8)
Nb2NiTe2Se4 (GGA-PBE, relaxed); E = -50.91 eV per cell
1.0
6.991 -1.729 0.000
6.991 1.729 0.000
-6.601 0.000 9.355
Nb Ni Te Se
2 1 2 4
Direct
0.179 0.179 0.291
0.821 0.821 0.709
0.500 0.500 0.000
0.280 0.280 0.871
0.720 0.720 0.129
0.163 0.163 0.521
0.490 0.490 0.789
0.510 0.510 0.211
0.837 0.837 0.479

---

(9)
LiSm (GGA-PBE, relaxed); E above lowest polymorph = 1063.9 meV per atom
1.0
0.000 3.247 3.247
3.247 0.000 3.247
3.247 3.247 0.000
Li Sm
1 1
Direct
0.000 0.000 0.000
0.750 0.750 0.750

---

(10)
CsKCuP (GGA-PBE, relaxed); E above lowest polymorph = 12.6 meV per atom
1.0
6.099 0.000 0.000
0.000 3.794 5.235
0.000 -3.794 5.235
Cs K Cu P
2 2 2 2
Direct
0.250 0.147 0.853
0.750 0.853 0.147
0.250 0.810 0.515
0.750 0.515 0.810
0.000 0.327 0.327
0.500 0.327 0.327
0.250 0.557 0.117
0.750 0.117 0.557

---

(11)
CsTe3IrPb (GGA-PBE, relaxed); E = -49.38 eV per cell
1.0
2.294 -7.746 0.000
2.294 7.746 0.000
0.000 0.000 12.539
Cs Te Ir Pb
2 6 2 2
Direct
0.211 0.789 0.750
0.789 0.211 0.250
0.140 0.860 0.052
0.140 0.860 0.448
0.485 0.515 0.750
0.515 0.485 0.250
0.860 0.140 0.552
0.860 0.140 0.948
0.090 0.910 0.250
0.910 0.090 0.750
0.500 0.500 0.000
0.500 0.500 0.500

---

(12)
AgMo3Pb5 (GGA-PBE, relaxed); E = -49.80 eV per cell
1.0
5.580 0.000 0.000
-2.790 4.832 0.000
0.000 0.000 8.752
Ag Mo Pb
1 3 5
Direct
0.000 0.000 0.000
0.000 0.500 0.500
0.500 0.000 0.500
0.500 0.500 0.500
0.000 0.000 0.500
0.333 0.667 0.205
0.333 0.667 0.795
0.667 0.333 0.205
0.667 0.333 0.795

---

(13)
RbAl3Tl3Au4 (GGA-PBE, relaxed); E = -34.20 eV per cell
1.0
8.285 0.000 0.000
-4.143 7.175 0.000
0.000 0.000 4.258
Rb Al Tl Au
1 3 3 4
Direct
0.000 0.000 0.000
0.079 0.540 0.000
0.460 0.540 0.000
0.460 0.921 0.000
0.384 0.192 0.500
0.808 0.192 0.500
0.808 0.616 0.500
0.216 0.432 0.500
0.216 0.784 0.500
0.568 0.784 0.500
0.667 0.333 0.000

---

(14)
LiAg3GeO4 (GGA-PBE, relaxed); E = -39.62 eV per cell
1.0
5.674 0.000 0.000
0.000 5.674 0.000
0.000 0.000 5.674
Li Ag Ge O
1 3 1 4
Direct
0.000 0.000 0.000
0.000 0.500 0.500
0.500 0.000 0.500
0.500 0.500 0.000
0.500 0.500 0.500
0.316 0.316 0.316
0.316 0.684 0.684
0.684 0.316 0.684
0.684 0.684 0.316

---

(15)
LiPu (GGA-PBE, relaxed); E above lowest polymorph = 483.2 meV per atom
1.0
0.000 2.923 2.923
2.923 0.000 2.923
2.923 2.923 0.000
Li Pu
1 1
Direct
0.000 0.000 0.000
0.500 0.500 0.500

---

(16)
SmTaTc (GGA-PBE, relaxed); E_form = 1593 meV per atom
1.0
0.000 3.229 3.229
3.229 0.000 3.229
3.229 3.229 0.000
Sm Ta Tc
1 1 1
Direct
0.000 0.000 0.000
0.750 0.750 0.750
0.250 0.250 0.250

---

(17)
LuGaFeAu (GGA-PBE, relaxed); E above lowest polymorph = 18.2 meV per atom
1.0
0.000 3.271 3.271
3.271 0.000 3.271
3.271 3.271 0.000
Lu Ga Fe Au
1 1 1 1
Direct
0.000 0.000 0.000
0.500 0.500 0.500
0.750 0.750 0.750
0.250 0.250 0.250

---

(18)
TmLuTlC (GGA-PBE, relaxed); E = -44.63 eV per cell
1.0
3.543 0.000 0.000
-1.772 3.069 0.000
0.000 0.000 15.969
Tm Lu Tl C
2 2 2 2
Direct
0.333 0.667 0.417
0.667 0.333 0.583
0.333 0.667 0.082
0.667 0.333 0.918
0.333 0.667 0.751
0.667 0.333 0.249
0.000 0.000 0.000
0.000 0.000 0.500

---

(19)
TbFe4B4 (GGA-PBE, relaxed); E = -137.78 eV per cell
1.0
6.953 0.000 0.000
0.000 6.953 0.000
0.000 0.000 3.814
Tb Fe B
2 8 8
Direct
0.250 0.250 0.250
0.750 0.750 0.750
0.118 0.636 0.141
0.136 0.882 0.641
0.364 0.618 0.641
0.382 0.864 0.141
0.618 0.136 0.859
0.636 0.382 0.359
0.864 0.118 0.359
0.882 0.364 0.859
0.050 0.917 0.144
0.083 0.550 0.644
0.417 0.950 0.644
0.450 0.583 0.144
0.550 0.417 0.856
0.583 0.050 0.356
0.917 0.450 0.356
0.950 0.083 0.856

---

(20)
GdP (GGA-PBE, relaxed); E = -12.20 eV per cell
1.0
0.000 3.171 3.171
3.171 0.000 3.171
3.171 3.171 0.000
Gd P
1 1
Direct
0.000 0.000 0.000
0.750 0.750 0.750